Model P:
VASP calculation (PBE) on an optimized crystal structure of HgBi2Sb.

Cell and atoms, written as extended XYZ:
```
4
Lattice="-1.580 3.588 -2.512 -3.993 0.357 3.022 2.521 3.179 2.956" Properties=species:S:1:pos:R:3 pbc="T T T"
Sb -0.790 1.794 -1.256
Bi 1.261 1.590 1.478
Bi -1.996 0.179 1.511
Hg -1.526 3.562 1.733
```

Summary:
- Magnetic moment: 0.000 μB/cell
- Volume: 117.3 Å³/f.u.

***

Model Q:
VASP calculation (PBE) on an optimized crystal structure of HgBi2Sb.

Cell and atoms, written as extended XYZ:
```
16
Lattice="6.808 0.000 0.000 0.000 5.945 0.000 0.000 0.000 13.184" Properties=species:S:1:pos:R:3 pbc="T T T"
Hg 0.653 5.832 4.419
Hg 4.056 0.114 8.765
Hg 4.056 3.086 11.011
Hg 0.653 2.859 2.173
Bi 1.258 1.129 10.739
Bi 4.662 4.817 2.446
Bi 4.662 1.844 4.146
Bi 1.258 4.101 9.038
Bi 4.547 1.715 0.755
Bi 1.143 4.230 12.429
Bi 1.143 1.258 7.347
Bi 4.547 4.687 5.837
Sb 5.455 5.823 11.608
Sb 2.051 0.122 1.576
Sb 2.051 3.094 5.016
Sb 5.455 2.851 8.168
```

Summary:
- Magnetic moment: 0.000 μB/cell
- Volume: 133.4 Å³/f.u.

***

Model R:
VASP calculation (PBE) on an optimized crystal structure of HgBi2Sb.

Cell and atoms, written as extended XYZ:
```
4
Lattice="4.290 0.000 0.000 2.145 3.715 0.000 2.145 1.238 7.957" Properties=species:S:1:pos:R:3 pbc="T T T"
Hg 4.290 2.477 3.999
Bi 2.145 1.238 5.984
Bi 2.145 1.238 1.970
Sb 6.435 3.715 7.940
```

Summary:
- Magnetic moment: 0.000 μB/cell
- Volume: 126.8 Å³/f.u.

***

Which structure is the most stable? The one labeled model R.